No. 1
DFT (PBE) results for a relaxed AcCePrMg crystal.

abc: 5.768 5.768 5.768
angles: 60.00 60.00 60.00
Fractional positions:
Mg 0.000 0.000 0.000
Ac 0.750 0.750 0.750
Ce 0.500 0.500 0.500
Pr 0.250 0.250 0.250

Output
For the total energy, the calculation gives -3.95 eV per atom. For the spin magnetization, the calculation gives 0.350 μB/atom.

---

No. 2
DFT (PBE) results for a relaxed Ac2CeMgPt6 crystal.

abc: 7.200 6.963 9.026
angles: 51.58 49.26 82.57
Fractional positions:
Ce 0.500 0.500 0.000
Pt 0.754 0.755 0.002
Pt 0.246 0.245 0.998
Ac 0.734 0.266 0.444
Mg 0.000 0.000 0.000
Pt 0.752 0.247 0.838
Ac 0.266 0.734 0.556
Pt 0.245 0.246 0.511
Pt 0.755 0.754 0.489
Pt 0.248 0.753 0.162

Output
For the total energy, the calculation gives -6.04 eV per atom. For the spin magnetization, the calculation gives 0.000 μB/atom.

---

No. 3
DFT (PBE) results for a relaxed AcCePuMg crystal.

abc: 5.599 5.599 5.599
angles: 60.00 60.00 60.00
Fractional positions:
Ac 0.750 0.750 0.750
Ce 0.250 0.250 0.250
Pu 0.000 0.000 0.000
Mg 0.500 0.500 0.500

Output
For the total energy, the calculation gives -6.32 eV per atom. For the spin magnetization, the calculation gives 1.870 μB/atom.

---

No. 4
DFT (PBE) results for a relaxed AcCeMgSb crystal.

abc: 5.612 5.612 5.612
angles: 60.00 60.00 60.00
Fractional positions:
Ce 0.250 0.250 0.250
Ac 0.750 0.750 0.750
Sb 0.000 0.000 0.000
Mg 0.500 0.500 0.500

Output
For the spin magnetization, the calculation gives 0.363 μB/atom. The raw formation energy is -0.3554 eV per atom.

---

No. 5
DFT (PBE) results for a relaxed AcCeMgSc crystal.

abc: 5.610 5.610 5.610
angles: 60.00 60.00 60.00
Fractional positions:
Mg 0.500 0.500 0.500
Ac 0.750 0.750 0.750
Sc 0.000 0.000 0.000
Ce 0.250 0.250 0.250

Output
For the total energy, the calculation gives -4.36 eV per atom. For the spin magnetization, the calculation gives 0.331 μB/atom.

---

No. 6
DFT (PBE) results for a relaxed AcCeMgSi crystal.

abc: 5.397 5.397 5.397
angles: 60.00 60.00 60.00
Fractional positions:
Si 0.750 0.750 0.750
Mg 0.250 0.250 0.250
Ac 0.000 0.000 0.000
Ce 0.500 0.500 0.500

Output
For the spin magnetization, the calculation gives 0.283 μB/atom. The raw formation energy is -0.1260 eV per atom.

---

No. 7
DFT (PBE) results for a relaxed AcCeSmMg crystal.

abc: 5.739 5.739 5.739
angles: 60.00 60.00 60.00
Fractional positions:
Ac 0.500 0.500 0.500
Ce 0.250 0.250 0.250
Mg 0.000 0.000 0.000
Sm 0.750 0.750 0.750

Output
For the total energy, the calculation gives -3.91 eV per atom. For the spin magnetization, the calculation gives 0.397 μB/atom.

---

No. 8
DFT (PBE) results for a relaxed AcCe2Mg2Sn2 crystal.

abc: 4.848 4.848 10.206
angles: 76.26 76.26 60.00
Fractional positions:
Mg 0.579 0.579 0.262
Mg 0.421 0.421 0.738
Ac 0.000 0.000 0.000
Sn 0.738 0.738 0.785
Ce 0.853 0.853 0.442
Ce 0.147 0.147 0.558
Sn 0.262 0.262 0.215

Output
For the total energy, the calculation gives -4.20 eV per atom. For the spin magnetization, the calculation gives 0.444 μB/atom.

---

No. 9
DFT (PBE) results for a relaxed AcCeMgTl crystal.

abc: 5.668 5.668 5.668
angles: 60.00 60.00 60.00
Fractional positions:
Ce 0.500 0.500 0.500
Mg 0.250 0.250 0.250
Ac 0.000 0.000 0.000
Tl 0.750 0.750 0.750

Output
For the total energy, the calculation gives -3.61 eV per atom. For the spin magnetization, the calculation gives 0.359 μB/atom.

---

No. 10
DFT (PBE) results for a relaxed AcCeMgZn crystal.

abc: 5.486 5.486 5.486
angles: 60.00 60.00 60.00
Fractional positions:
Ce 0.750 0.750 0.750
Ac 0.250 0.250 0.250
Mg 0.500 0.500 0.500
Zn 0.000 0.000 0.000

Output
For the total energy, the calculation gives -3.26 eV per atom. For the spin magnetization, the calculation gives 0.285 μB/atom.

---

No. 11
DFT (PBE) results for a relaxed AcCe2Mn crystal.

abc: 3.759 3.759 10.354
angles: 79.54 79.54 60.00
Fractional positions:
Mn 0.500 0.500 0.500
Ac 0.000 0.000 0.000
Ce 0.118 0.118 0.646
Ce 0.882 0.882 0.354

Output
For the total energy, the calculation gives -5.93 eV per atom. For the spin magnetization, the calculation gives 0.000 μB/atom.

---

No. 12
DFT (PBE) results for a relaxed Ac4Ce3MnN8 crystal.

abc: 7.353 7.414 7.357
angles: 119.74 119.98 90.00
Fractional positions:
N 0.246 0.722 0.976
Ac 0.500 0.000 0.000
N 0.271 0.278 0.024
N 0.739 0.716 0.477
N 0.754 0.278 0.024
Ac 0.000 0.000 0.000
N 0.754 0.278 0.507
Ce 0.000 0.500 0.500
Ac 0.000 0.000 0.500
N 0.261 0.284 0.523
Ac 0.500 0.000 0.500
Mn 0.000 0.500 0.000
N 0.729 0.722 0.976
Ce 0.500 0.500 0.000
Ce 0.500 0.500 0.500
N 0.246 0.722 0.493

Output
For the spin magnetization, the calculation gives 0.259 μB/atom. The raw formation energy is -0.9933 eV per atom.

---

No. 13
DFT (PBE) results for a relaxed Ac3CeMn2N6 crystal.

abc: 5.993 5.993 6.935
angles: 90.00 90.00 120.00
Fractional positions:
Mn 0.667 0.333 0.797
Ac 0.333 0.667 0.673
N 0.349 0.175 0.709
Mn 0.333 0.667 0.203
Ac 0.000 0.000 0.000
N 0.825 0.175 0.709
N 0.175 0.825 0.291
N 0.825 0.651 0.709
N 0.651 0.825 0.291
N 0.175 0.349 0.291
Ac 0.667 0.333 0.327
Ce 0.000 0.000 0.500

Output
For the spin magnetization, the calculation gives 0.329 μB/atom. The raw formation energy is -0.8797 eV per atom.

---

No. 14
DFT (PBE) results for a relaxed AcCe2MnN4 crystal.

abc: 3.585 6.234 11.867
angles: 90.00 90.00 106.71
Fractional positions:
Mn 0.832 0.664 0.750
N 0.736 0.472 0.619
N 0.264 0.528 0.381
N 0.000 0.000 0.500
N 0.264 0.528 0.119
Ac 0.903 0.806 0.250
N 0.000 0.000 0.000
Ac 0.097 0.194 0.750
Ce 0.632 0.264 0.449
N 0.574 0.148 0.250
N 0.426 0.852 0.750
Ce 0.368 0.736 0.551
N 0.736 0.472 0.881
Ce 0.368 0.736 0.949
Mn 0.168 0.336 0.250
Ce 0.632 0.264 0.051

Output
For the spin magnetization, the calculation gives 0.482 μB/atom. The raw formation energy is -1.1417 eV per atom.

---

No. 15
DFT (PBE) results for a relaxed AcCeMnN3 crystal.

abc: 3.560 7.625 7.584
angles: 99.66 90.00 90.00
Fractional positions:
Ac 0.750 0.827 0.810
N 0.250 0.131 0.846
Ce 0.250 0.645 0.174
Ce 0.750 0.355 0.826
N 0.750 0.869 0.154
N 0.750 0.152 0.531
Mn 0.750 0.922 0.407
Mn 0.250 0.078 0.593
N 0.750 0.416 0.136
Ac 0.250 0.173 0.190
N 0.250 0.584 0.864
N 0.250 0.848 0.469

Output
For the spin magnetization, the calculation gives 0.194 μB/atom. The raw formation energy is -0.9820 eV per atom.

---

No. 16
DFT (PBE) results for a relaxed Ac2CeMnN4 crystal.

abc: 3.662 6.972 12.612
angles: 90.00 90.00 105.22
Fractional positions:
N 0.283 0.566 0.138
Ce 0.840 0.680 0.250
N 0.000 0.000 0.500
Ac 0.627 0.253 0.042
Ce 0.160 0.320 0.750
Ac 0.373 0.747 0.958
N 0.349 0.698 0.750
Mn 0.816 0.633 0.750
Ac 0.627 0.253 0.458
Ac 0.373 0.747 0.542
N 0.000 0.000 0.000
N 0.717 0.434 0.638
Mn 0.184 0.367 0.250
N 0.717 0.434 0.862
N 0.283 0.566 0.362
N 0.651 0.302 0.250

Output
For the spin magnetization, the calculation gives 0.197 μB/atom. The raw formation energy is -0.8110 eV per atom.

---

No. 17
DFT (PBE) results for a relaxed AcCe2MnN5 crystal.

abc: 6.728 6.728 7.375
angles: 117.14 117.14 90.00
Fractional positions:
N 0.783 0.003 0.286
N 0.003 0.503 0.286
N 0.500 0.500 0.000
N 0.997 0.497 0.714
N 0.497 0.717 0.714
N 0.283 0.783 0.286
N 0.717 0.217 0.714
Ce 0.176 0.324 0.000
Ac 0.750 0.750 0.500
N 0.000 0.000 0.000
Mn 0.250 0.750 0.500
Ce 0.324 0.824 0.000
N 0.217 0.997 0.714
Ce 0.676 0.176 0.000
Ce 0.824 0.676 0.000
Ac 0.250 0.250 0.500
N 0.503 0.283 0.286
Mn 0.750 0.250 0.500

Output
For the spin magnetization, the calculation gives 0.269 μB/atom. The raw formation energy is -1.1784 eV per atom.